(1)
# SbPd3O

A relaxed structure of SbPd3O (GGA-PBE, Alexandria via LeMat-Bulk).

Computed properties:
Space group: No. 221
E_form (uncorrected) in eV per atom: -0.081

```
SbPd3O
1.0
4.334 0.000 0.000
0.000 4.334 0.000
0.000 0.000 4.334
Sb Pd O
1 3 1
Cartesian
0.000 0.000 0.000
0.000 2.167 2.167
2.167 0.000 2.167
2.167 2.167 0.000
2.167 2.167 2.167
```


(2)
# CaTlPS4

A relaxed structure of CaTlPS4 (GGA-PBE, Alexandria via LeMat-Bulk).

Computed properties:
Space group: No. 11
E_form (uncorrected) in eV per atom: -0.896

```
CaTlPS4
1.0
6.568 0.000 0.000
0.000 6.612 0.000
-2.511 0.000 8.302
Ca Tl P S
2 2 2 8
Cartesian
1.441 1.653 0.428
2.616 4.959 7.874
0.252 1.653 4.724
3.805 4.959 3.578
-0.661 4.959 6.807
4.718 1.653 1.496
-1.884 3.333 6.459
-1.884 6.585 6.459
2.404 4.959 0.478
0.953 4.959 5.558
3.104 1.653 2.744
1.653 1.653 7.824
5.941 0.027 1.843
5.941 3.279 1.843
```


(3)
# KHg3P

A relaxed structure of KHg3P (GGA-PBE, Alexandria via LeMat-Bulk).

Computed properties:
Space group: No. 221
ΔE_f in kJ/mol of formula units: 330

```
KHg3P
1.0
6.452 0.000 0.000
0.000 6.452 0.000
0.000 0.000 6.452
K Hg P
1 3 1
Cartesian
0.000 0.000 0.000
0.000 0.000 3.226
0.000 3.226 0.000
3.226 0.000 0.000
3.226 3.226 3.226
```


(4)
# Ba5Ca3H12

A relaxed structure of Ba5Ca3H12 (GGA-PBE, Alexandria via LeMat-Bulk).

Computed properties:
Space group: No. 230

```
Ba5Ca3H12
1.0
-7.836 7.836 7.836
7.836 -7.836 7.836
7.836 7.836 -7.836
Ba Ca H
20 12 48
Cartesian
0.000 0.000 0.000
3.918 3.918 -3.918
3.918 -3.918 3.918
7.836 0.000 0.000
11.754 1.959 0.000
7.836 -3.918 5.877
5.877 7.836 -3.918
5.877 0.000 3.918
3.918 5.877 0.000
7.836 3.918 1.959
-3.918 3.918 3.918
0.000 7.836 0.000
0.000 0.000 7.836
3.918 3.918 3.918
0.000 3.918 5.877
3.918 1.959 7.836
1.959 7.836 3.918
1.959 0.000 11.754
0.000 11.754 1.959
-3.918 5.877 7.836
3.918 1.959 0.000
7.836 3.918 -1.959
1.959 0.000 3.918
9.795 0.000 3.918
0.000 3.918 1.959
3.918 -1.959 7.836
3.918 9.795 0.000
7.836 3.918 5.877
-1.959 7.836 3.918
5.877 7.836 3.918
0.000 3.918 9.795
3.918 5.877 7.836
10.418 -0.213 0.374
9.172 -3.544 3.705
2.582 0.213 0.374
9.172 4.292 -3.705
8.049 -0.374 2.582
11.541 -1.336 3.544
4.292 3.705 -1.336
7.462 2.582 -0.213
0.374 2.582 0.213
11.380 4.131 -1.336
0.213 0.374 2.582
3.705 -1.336 4.292
8.049 7.462 -2.582
3.705 1.336 3.544
3.544 3.705 1.336
8.210 5.254 -0.213
4.292 -3.705 9.172
7.462 -2.582 8.049
3.705 9.172 -3.544
8.049 0.374 5.254
1.336 3.544 3.705
2.582 -0.213 7.462
2.582 8.049 -0.374
9.172 3.544 4.131
-1.336 4.292 3.705
5.254 -0.213 8.210
5.254 8.049 0.374
6.500 4.292 4.131
-0.213 7.462 2.582
4.131 -1.336 11.380
0.374 10.418 -0.213
3.544 11.541 -1.336
-0.374 2.582 8.049
4.292 4.131 6.500
4.131 6.500 4.292
-0.213 0.374 10.418
4.131 9.172 3.544
7.623 7.462 5.254
-3.544 3.705 9.172
7.462 5.254 7.623
0.374 5.254 8.049
3.544 4.131 9.172
-3.705 9.172 4.292
-0.213 8.210 5.254
-1.336 3.544 11.541
5.254 7.623 7.462
-1.336 11.380 4.131
-2.582 8.049 7.462
```


(5)
# CaBe8

A relaxed structure of CaBe8 (GGA-PBE, Alexandria via LeMat-Bulk).

Computed properties:
Space group: No. 139
ΔE_f in kJ/mol of formula units: 338

```
CaBe8
1.0
-3.746 3.746 1.773
3.746 -3.746 1.773
3.746 3.746 -1.773
Ca Be
1 8
Cartesian
0.000 0.000 0.000
2.677 0.000 0.000
4.815 0.000 0.000
2.263 2.263 0.000
1.483 -1.483 1.773
0.000 2.677 0.000
0.000 4.815 0.000
-1.483 1.483 1.773
1.483 1.483 1.773
```


(6)
# Ac3Pr2TmTe6

A relaxed structure of Ac3Pr2TmTe6 (GGA-PBE, Alexandria via LeMat-Bulk).

Computed properties:
Space group: No. 12
E_form (uncorrected) in eV per atom: -1.417

```
Ac3Pr2TmTe6
1.0
10.048 -2.273 0.000
10.048 2.273 0.000
-2.237 0.000 9.011
Ac Pr Tm Te
3 2 1 6
Cartesian
0.000 0.000 0.000
5.097 0.000 5.981
12.762 0.000 3.031
6.272 0.000 1.471
11.588 0.000 7.541
-1.119 0.000 4.506
1.821 0.000 5.287
3.200 0.000 0.690
9.424 0.000 2.441
8.435 0.000 6.571
14.660 0.000 8.322
16.038 0.000 3.725
```


(7)
# TbBiH2

A relaxed structure of TbBiH2 (GGA-PBE, Alexandria via LeMat-Bulk).

Computed properties:
Space group: No. 8

```
TbBiH2
1.0
3.152 -1.819 0.000
3.152 1.819 0.000
-2.092 0.000 6.132
Tb Bi H
1 1 2
Cartesian
0.000 0.000 0.000
0.016 0.000 3.378
2.101 0.000 0.655
4.203 0.000 0.213
```


(8)
# Sr2LiI

A relaxed structure of Sr2LiI (GGA-PBE, Alexandria via LeMat-Bulk).

Computed properties:
Space group: No. 166
E_form (uncorrected) in eV per atom: -0.348

```
Sr2LiI
1.0
2.073 1.197 12.181
-2.073 1.197 12.181
0.000 -2.393 12.181
Sr Li I
2 1 1
Cartesian
0.000 0.000 3.516
0.000 0.000 33.027
0.000 0.000 0.000
0.000 0.000 18.271
```


| no. | calculated total energy (eV per atom) |
| --- | --- |
| 1 | -5.01 |
| 2 | -4.65 |
| 3 | -0.80 |
| 4 | -3.08 |
| 5 | -3.15 |
| 6 | -5.18 |
| 7 | -4.28 |
| 8 | -2.05 |